Computed, not measured: crystalline TmBeNO at its relaxed geometry at the PBE-GGA level of DFT.

Lattice parameters (Å, degrees): 3.161 5.079 5.294 90.00 90.00 90.00
Positions (direct):
Tm (0.000, 0.212, 0.000)
Tm (0.000, 0.788, 0.500)
Be (0.500, 0.207, 0.534)
Be (0.500, 0.793, 0.034)
N (0.500, 0.036, 0.263)
N (0.500, 0.964, 0.763)
O (0.000, 0.365, 0.580)
O (0.000, 0.635, 0.080)

Summary:
Polymorph energy (0 for the lowest one): 129 meV per atom
Magnetization: 0.0 μB/f.u.
SG: No. 26